DFT (PBE) results for LaTaN3 after structural relaxation. Values from VASP.

Results
energy = -8.56 eV per atom

```
&SYSTEM
  ibrav = 0, nat = 10, ntyp = 3
/
ATOMIC_SPECIES
N 14.01 N.upf
La 138.91 La.upf
Ta 180.95 Ta.upf
CELL_PARAMETERS angstrom
3.1176 -1.7999 0.0000
0.0000 3.5998 0.0000
0.0000 0.0000 13.8419
ATOMIC_POSITIONS angstrom
N 1.0392 1.7999 12.9890
La 1.0392 1.7999 10.3814
N 0.0000 0.0000 10.3814
N 2.0784 0.0000 6.0681
N 0.0000 0.0000 3.4605
N 2.0784 0.0000 0.8529
La 2.0784 0.0000 3.4605
N 1.0392 1.7999 7.7738
Ta 0.0000 0.0000 6.9209
Ta 0.0000 0.0000 0.0000
```

---

DFT (PBE) results for LaTaN3 after structural relaxation. Values from VASP.

Results
energy = -9.44 eV per atom

```
&SYSTEM
  ibrav = 0, nat = 10, ntyp = 3
/
ATOMIC_SPECIES
N 14.01 N.upf
La 138.91 La.upf
Ta 180.95 Ta.upf
CELL_PARAMETERS angstrom
4.0265 -0.0001 -0.0001
2.0136 6.9003 -0.0024
0.0004 3.2702 5.2533
ATOMIC_POSITIONS angstrom
N 4.4569 7.4599 2.0959
La 0.4299 1.5933 0.4310
La 2.4439 7.9304 3.8826
N 2.4436 5.5378 4.4419
N 4.4567 3.1708 2.2100
N 4.4568 4.3976 2.9979
N 2.4435 5.1738 1.2072
Ta 4.4568 5.7701 1.2973
N 4.4572 9.4864 4.5475
Ta 2.4435 4.0585 3.1179
```

---

DFT (PBE) results for LaTaN3 after structural relaxation. Values from VASP.

Results
energy = -9.45 eV per atom

```
&SYSTEM
  ibrav = 0, nat = 10, ntyp = 3
/
ATOMIC_SPECIES
N 14.01 N.upf
Ta 180.95 Ta.upf
La 138.91 La.upf
CELL_PARAMETERS angstrom
-1.6156 -0.1631 -5.4992
1.4312 -4.8907 2.6263
-4.0631 -3.9407 1.2954
ATOMIC_POSITIONS angstrom
N 0.2184 -3.9047 1.8111
Ta -1.4419 -4.8845 1.0400
N -1.8026 -1.7553 -1.8411
La -3.5791 -3.4604 -1.3195
N -4.1281 -3.2862 -4.2047
La -2.3516 -1.5812 -4.7261
N -3.6733 -5.6323 -2.5619
N -3.1022 -5.8643 0.2687
N -0.8261 -4.2998 -0.8574
Ta -4.2812 -6.9365 -1.0620
```

---

DFT (PBE) results for LaTaN3 after structural relaxation. Values from VASP.

Results
energy = -9.25 eV per atom

```
&SYSTEM
  ibrav = 0, nat = 10, ntyp = 3
/
ATOMIC_SPECIES
N 14.01 N.upf
Ta 180.95 Ta.upf
La 138.91 La.upf
CELL_PARAMETERS angstrom
-1.1887 -1.5000 -3.6810
-1.6660 -4.9764 2.5660
-5.4884 2.2735 0.8459
ATOMIC_POSITIONS angstrom
N -1.4273 -3.2382 -0.5575
Ta -5.2626 -0.2329 -0.5437
N -0.5944 -0.7500 -1.8405
La -2.8627 -2.2233 -2.8457
N -5.8287 -0.9946 -2.3886
La -5.4804 -1.9797 2.5765
N -2.5144 -3.2083 2.1194
N -4.9174 -3.2092 0.5577
N -3.4257 -0.9938 -0.8268
Ta -3.0805 -3.9701 0.2746
```

---

DFT (PBE) results for LaTa3N after structural relaxation. Values from VASP.

Results
energy relative to the lowest polymorph listed for this composition = 3391 meV/atom

```
&SYSTEM
  ibrav = 0, nat = 5, ntyp = 3
/
ATOMIC_SPECIES
La 138.91 La.upf
Ta 180.95 Ta.upf
N 14.01 N.upf
CELL_PARAMETERS angstrom
4.8856 0.0000 0.0000
0.0000 4.8856 0.0000
0.0000 0.0000 4.8856
ATOMIC_POSITIONS angstrom
La 0.0000 0.0000 0.0000
Ta 0.0000 0.0000 2.4428
N 2.4428 2.4428 2.4428
Ta 2.4428 0.0000 0.0000
Ta 0.0000 2.4428 0.0000
```

---

DFT (PBE) results for LaTaN3 after structural relaxation. Values from VASP.

Results
energy = -9.23 eV per atom

```
&SYSTEM
  ibrav = 0, nat = 20, ntyp = 3
/
ATOMIC_SPECIES
Ta 180.95 Ta.upf
N 14.01 N.upf
La 138.91 La.upf
CELL_PARAMETERS angstrom
5.7990 0.0000 0.0000
0.0000 9.2333 0.0000
0.0000 0.0000 6.0277
ATOMIC_POSITIONS angstrom
Ta 0.0014 6.9250 0.3461
N 2.3127 0.8108 2.3158
N 0.5868 5.4275 5.3297
N 3.4863 8.4225 3.7118
N 0.5868 8.4225 5.3297
N 0.9619 6.9250 2.0836
Ta 2.8981 2.3083 3.3599
La 2.8995 4.6167 0.0000
La 0.0000 4.6167 3.0138
N 5.2122 0.8108 0.6980
La 0.0000 0.0000 3.0138
N 4.8371 2.3083 3.9441
N 1.9376 2.3083 5.0974
Ta 5.7976 2.3083 5.6816
N 2.3127 3.8058 2.3158
N 5.2122 3.8058 0.6980
Ta 2.9009 6.9250 2.6678
N 3.8614 6.9250 0.9302
N 3.4863 5.4275 3.7118
La 2.8995 0.0000 0.0000
```

---

Number 1: D(E_F) 0.676 states/eV per atom. Number 2: D(E_F) 0.000 states/eV per atom. Number 3: D(E_F) 0.722 states/eV per atom. Number 4: D(E_F) 0.590 states/eV per atom. Number 5: D(E_F) 1.322 states/eV per atom. Number 6: D(E_F) 0.071 states/eV per atom.